# 1
! NbIrO4 (PBE, relaxed); values from VASP
&SYSTEM
  ibrav = 0, nat = 12, ntyp = 3
/
ATOMIC_SPECIES
Nb 92.91 Nb.upf
Ir 192.22 Ir.upf
O 16.00 O.upf
CELL_PARAMETERS angstrom
4.471 0.000 0.000
0.000 5.800 0.000
-0.144 0.000 5.203
ATOMIC_POSITIONS crystal
Nb 0.000 0.165 0.250
Nb 0.000 0.835 0.750
Ir 0.500 0.355 0.750
Ir 0.500 0.645 0.250
O 0.233 0.109 0.581
O 0.233 0.891 0.081
O 0.267 0.383 0.079
O 0.267 0.617 0.579
O 0.733 0.383 0.421
O 0.733 0.617 0.921
O 0.767 0.109 0.919
O 0.767 0.891 0.419
! crystal system = monoclinic
! energy = -8.087 eV per atom

=====

# 2
! PrAsPbO (PBE, relaxed); values from VASP
&SYSTEM
  ibrav = 0, nat = 8, ntyp = 4
/
ATOMIC_SPECIES
Pr 140.91 Pr.upf
As 74.92 As.upf
Pb 207.20 Pb.upf
O 16.00 O.upf
CELL_PARAMETERS angstrom
5.010 0.000 0.000
0.000 5.010 0.000
0.000 0.000 7.090
ATOMIC_POSITIONS crystal
Pr 0.250 0.750 0.000
Pr 0.750 0.250 0.000
As 0.250 0.250 0.200
As 0.750 0.750 0.800
Pb 0.250 0.250 0.586
Pb 0.750 0.750 0.414
O 0.250 0.750 0.500
O 0.750 0.250 0.500
! energy above the most stable polymorph in this dataset = 0.729 eV per atom
! crystal system = tetragonal
! energy = -5.223 eV per atom

=====

# 3
! LiBiIr2 (PBE, relaxed); values from VASP
&SYSTEM
  ibrav = 0, nat = 4, ntyp = 3
/
ATOMIC_SPECIES
Li 6.94 Li.upf
Bi 208.98 Bi.upf
Ir 192.22 Ir.upf
CELL_PARAMETERS angstrom
0.000 3.225 3.225
3.225 0.000 3.225
3.225 3.225 0.000
ATOMIC_POSITIONS crystal
Li 0.000 0.000 0.000
Bi 0.750 0.750 0.750
Ir 0.250 0.250 0.250
Ir 0.500 0.500 0.500
! crystal system = cubic
! energy = -5.703 eV per atom

=====

# 4
! LuPuCo (PBE, relaxed); values from VASP
&SYSTEM
  ibrav = 0, nat = 3, ntyp = 3
/
ATOMIC_SPECIES
Lu 174.97 Lu.upf
Pu 244.00 Pu.upf
Co 58.93 Co.upf
CELL_PARAMETERS angstrom
0.000 3.245 3.245
3.245 0.000 3.245
3.245 3.245 0.000
ATOMIC_POSITIONS crystal
Lu 0.000 0.000 0.000
Pu 0.500 0.500 0.500
Co 0.250 0.250 0.250
! crystal system = cubic
! energy = -8.567 eV per atom
! energy of formation from the pure elements = 0.02 eV/atom

=====

# 5
! LiScPt2 (PBE, relaxed); values from VASP
&SYSTEM
  ibrav = 0, nat = 4, ntyp = 3
/
ATOMIC_SPECIES
Li 6.94 Li.upf
Sc 44.96 Sc.upf
Pt 195.08 Pt.upf
CELL_PARAMETERS angstrom
4.140 0.000 0.000
0.000 4.140 0.000
0.000 0.000 3.637
ATOMIC_POSITIONS crystal
Li 0.000 0.000 0.000
Sc 0.500 0.500 0.000
Pt 0.000 0.500 0.500
Pt 0.500 0.000 0.500
! energy above the most stable polymorph in this dataset = 0.011 eV per atom
! crystal system = tetragonal
! energy = -6.080 eV per atom

=====

# 6
! HfBeFeSi (PBE, relaxed); values from VASP
&SYSTEM
  ibrav = 0, nat = 4, ntyp = 4
/
ATOMIC_SPECIES
Hf 178.49 Hf.upf
Be 9.01 Be.upf
Fe 55.84 Fe.upf
Si 28.09 Si.upf
CELL_PARAMETERS angstrom
0.000 2.955 2.955
2.955 0.000 2.955
2.955 2.955 0.000
ATOMIC_POSITIONS crystal
Hf 0.000 0.000 0.000
Be 0.750 0.750 0.750
Fe 0.500 0.500 0.500
Si 0.250 0.250 0.250
! energy above the most stable polymorph in this dataset = 0.183 eV per atom
! crystal system = cubic
! energy = -6.982 eV per atom

=====

# 7
! AgBBr6 (PBE, relaxed); values from VASP
&SYSTEM
  ibrav = 0, nat = 8, ntyp = 3
/
ATOMIC_SPECIES
Ag 107.87 Ag.upf
B 10.81 B.upf
Br 79.90 Br.upf
CELL_PARAMETERS angstrom
0.000 4.811 4.811
4.811 0.000 4.811
4.811 4.811 0.000
ATOMIC_POSITIONS crystal
Ag 0.000 0.000 0.000
B 0.250 0.250 0.250
Br 0.015 0.015 0.485
Br 0.015 0.485 0.015
Br 0.015 0.485 0.485
Br 0.485 0.015 0.015
Br 0.485 0.015 0.485
Br 0.485 0.485 0.015
! crystal system = cubic
! energy = -2.183 eV per atom

=====

# 8
! ThPaPt (PBE, relaxed); values from VASP
&SYSTEM
  ibrav = 0, nat = 3, ntyp = 3
/
ATOMIC_SPECIES
Th 232.04 Th.upf
Pa 231.04 Pa.upf
Pt 195.08 Pt.upf
CELL_PARAMETERS angstrom
0.000 3.476 3.476
3.476 0.000 3.476
3.476 3.476 0.000
ATOMIC_POSITIONS crystal
Th 0.000 0.000 0.000
Pa 0.500 0.500 0.500
Pt 0.750 0.750 0.750
! energy above the most stable polymorph in this dataset = 0.000 eV per atom
! crystal system = cubic
! energy = -7.929 eV per atom
! energy of formation from the pure elements = -0.27 eV/atom